Entry 1:
GGA-PBE CeTcB3, relaxed; calculated formation energy = -79 meV per atom; magnetization = 0.000 μB per atom; DFT total energy = -146.90 eV for the cell shown
1.0
-0.655 6.086 -4.551
-5.260 -1.661 -1.465
-3.771 2.298 3.616
B Tc Ce
12 4 4
direct
0.500 0.170 0.623
0.000 0.280 0.280
0.500 0.720 0.720
0.500 0.623 0.170
0.000 0.377 0.830
0.000 0.720 0.720
0.000 0.623 0.170
0.500 0.377 0.830
0.500 0.830 0.377
0.000 0.830 0.377
0.500 0.280 0.280
0.000 0.170 0.623
0.250 0.000 0.500
0.250 0.500 0.000
0.750 0.000 0.500
0.750 0.500 0.000
0.750 0.000 0.000
0.250 0.000 0.000
0.250 0.500 0.500
0.750 0.500 0.500



Entry 2:
GGA-PBE Tm3CdCu8, relaxed; calculated formation energy = -227 meV per atom; energy above the most stable polymorph in this dataset = 10 meV per atom; magnetization = 0.000 μB per atom; DFT total energy = -49.83 eV for the cell shown
1.0
-1.271 1.769 4.661
-4.930 0.067 1.470
-1.226 -7.141 5.216
Cu Tm Cd
8 3 1
direct
0.435 0.944 0.186
0.944 0.435 0.186
0.938 0.938 0.689
0.436 0.938 0.689
0.188 0.188 0.436
0.938 0.436 0.689
0.435 0.435 0.186
0.687 0.687 0.940
0.505 0.505 0.484
0.994 0.994 0.017
0.379 0.379 0.864
0.872 0.872 0.385



Entry 3:
GGA-PBE ReMo2N, relaxed; uncorrected formation energy = 210 meV/atom; magnetization = 0.000 μB per atom; DFT total energy = -41.60 eV for the cell shown
1.0
2.727 0.000 0.000
0.000 2.727 0.000
0.000 0.000 6.855
Mo Re N
2 1 1
direct
0.000 0.000 0.803
0.000 0.000 0.197
0.500 0.500 0.500
0.500 0.500 0.000



Entry 4:
GGA-PBE AcEr2Se, relaxed; uncorrected formation energy = -593 meV/atom; magnetization = 0.000 μB per atom; DFT total energy = -19.09 eV for the cell shown
1.0
-2.628 -2.368 1.302
0.426 -3.719 -0.445
4.389 -2.564 9.654
Er Se Ac
2 1 1
direct
0.112 0.112 0.664
0.888 0.888 0.336
0.500 0.500 0.500
0.000 0.000 0.000



Entry 5:
GGA-PBE La7Nd4Tm, relaxed; calculated formation energy = 16 meV per atom; energy above the most stable polymorph in this dataset = 0 meV per atom; magnetization = 0.000 μB per atom; DFT total energy = -57.84 eV for the cell shown
1.0
6.240 -2.042 3.335
0.505 5.823 2.641
3.233 -2.468 12.635
Nd La Tm
4 7 1
direct
0.585 0.504 0.332
0.336 0.002 0.331
0.664 0.998 0.669
0.415 0.496 0.668
0.834 0.000 0.331
0.166 0.000 0.669
0.754 0.500 0.999
0.082 0.499 0.333
0.918 0.501 0.667
0.246 0.500 0.001
0.500 0.000 0.000
0.000 0.000 0.000



Entry 6:
GGA-PBE CsK2AsCl8, relaxed; uncorrected formation energy = -1181 meV/atom; magnetization = 0.000 μB per atom; DFT total energy = -36.64 eV for the cell shown
1.0
6.380 -0.656 0.407
-0.615 6.884 0.115
0.775 0.298 9.216
Cl K As Cs
8 2 1 1
direct
0.022 0.731 0.166
0.788 0.117 0.185
0.305 0.193 0.076
0.695 0.807 0.924
0.978 0.269 0.834
0.212 0.883 0.815
0.579 0.274 0.429
0.421 0.726 0.571
0.513 0.378 0.756
0.487 0.622 0.244
0.000 0.000 0.000
0.000 0.000 0.500



Entry 7:
GGA-PBE ClF, relaxed; energy above the most stable polymorph in this dataset = 128 meV per atom; uncorrected formation energy = -281 meV/atom; magnetization = 0.000 μB per atom; DFT total energy = -8.56 eV for the cell shown
1.0
-3.065 -1.389 2.110
0.931 -1.667 -3.482
4.973 -5.184 3.811
Cl F
2 2
direct
0.333 0.667 0.643
0.667 0.333 0.143
0.667 0.333 0.939
0.333 0.667 0.439



Entry 8:
GGA-PBE DyY4Pu3Se8, relaxed; uncorrected formation energy = -1760 meV/atom; magnetization = 1.070 μB per atom; DFT total energy = -129.50 eV for the cell shown
1.0
-4.859 4.968 -4.365
-4.419 1.621 6.765
8.118 1.197 0.040
Se Pu Y Dy
8 3 4 1
direct
0.752 0.754 0.504
0.247 0.247 0.997
0.249 0.752 0.499
0.753 0.753 0.003
0.751 0.247 0.997
0.248 0.246 0.496
0.751 0.248 0.501
0.249 0.753 0.003
0.500 0.500 0.500
0.500 0.500 0.000
0.000 0.500 0.500
0.000 0.000 0.000
0.500 0.000 0.500
0.000 0.000 0.500
0.500 0.000 0.000
0.000 0.500 0.000



Entry 9:
GGA-PBE Ce2SmZn2Au2, relaxed; calculated formation energy = -493 meV per atom; magnetization = 0.018 μB per atom; DFT total energy = -29.14 eV for the cell shown
1.0
4.504 0.000 0.000
2.252 3.900 0.000
2.252 1.300 8.895
Ce Zn Au Sm
2 2 2 1
direct
0.140 0.140 0.580
0.860 0.860 0.420
0.406 0.406 0.782
0.594 0.594 0.218
0.739 0.739 0.784
0.261 0.261 0.216
0.000 0.000 0.000



Entry 10:
GGA-PBE CdBRh2Se, relaxed; energy above the most stable polymorph in this dataset = 634 meV per atom; uncorrected formation energy = 819 meV/atom; magnetization = 0.000 μB per atom; DFT total energy = -21.68 eV for the cell shown
1.0
4.691 0.000 0.000
0.000 4.026 0.000
0.000 0.000 4.691
Rh Se Cd B
2 1 1 1
direct
0.500 0.000 0.000
0.000 0.000 0.500
0.000 0.000 0.000
0.500 0.500 0.500
0.000 0.500 0.000



Entry 11:
GGA-PBE Li2Zn3Au4, relaxed; calculated formation energy = -323 meV per atom; energy above the most stable polymorph in this dataset = 51 meV per atom; magnetization = 0.000 μB per atom; DFT total energy = -47.33 eV for the cell shown
1.0
-3.012 4.560 0.970
-3.792 -1.106 -6.579
-3.682 -6.494 3.214
Li Au Zn
4 8 6
direct
0.099 0.603 0.198
0.901 0.397 0.802
0.401 0.103 0.802
0.599 0.897 0.198
0.184 0.750 0.869
0.684 0.750 0.869
0.816 0.250 0.131
0.316 0.250 0.131
0.327 0.479 0.653
0.827 0.021 0.653
0.173 0.979 0.347
0.673 0.521 0.347
0.000 0.000 0.000
0.993 0.250 0.485
0.493 0.250 0.485
0.500 0.500 0.000
0.007 0.750 0.515
0.507 0.750 0.515



Entry 12:
GGA-PBE SrLiLuAg, relaxed; calculated formation energy = -11 meV per atom; magnetization = 0.000 μB per atom; DFT total energy = -11.01 eV for the cell shown
1.0
-1.347 4.771 1.987
-0.072 0.768 5.285
3.709 3.078 2.302
Li Sr Ag Lu
1 1 1 1
direct
0.250 0.250 0.250
0.500 0.500 0.500
0.750 0.750 0.750
0.000 0.000 0.000